Below is a relaxed structure of Cr2SiIr, with properties calculated at the PBE level.

a b c (Å): 4.8540 4.8540 4.8540
angles (deg): 145.32 128.07 63.96
Closest atoms and distances in Å follow each position.
Positions (direct):
Cr 0.0000 0.0000 0.0000  2 Cr 2.47, 4 Si 2.57, 2 Ir 2.70
Cr 0.7568 0.2568 0.5000  2 Si 2.45, 2 Cr 2.47, 4 Ir 2.58
Si 0.5174 0.5174 0.0000  6 Cr 2.45-2.57, 2 Ir 2.45
Ir 0.2770 0.7770 0.5000  2 Si 2.45, 6 Cr 2.58-2.70

**Uncorrected energy**: -8.560 eV/atom
**ΔE_f (raw)**: -0.177 eV per atom
**Total magnetization**: 0.05 μB/f.u.